No. 1
A relaxed structure of ScAl2AuBr, computed with PBE.

The structure belongs to space group P4/mmm (No. 123); the cell edges are 5.5712, 5.5712 and 5.0071 Å and the angles 90.00°, 90.00° and 90.00°. The asymmetric unit holds Sc at (0.0000, 0.0000, 0.0000), Al at (0.0000, 0.5000, 0.0000), Au at (0.5000, 0.5000, 0.5000) and Br at (0.0000, 0.0000, 0.5000).

Its density of states at the Fermi level is 3.9 states/eV/cell. Its crystal system is tetragonal.



No. 2
A relaxed structure of TaAl2AuBr, computed with PBE.

The structure belongs to space group P4/mmm (No. 123); the cell edges are 4.8964, 4.8964 and 4.7101 Å and the angles 90.00°, 90.00° and 90.00°. The asymmetric unit holds Ta at (0.0000, 0.0000, 0.0000), Al at (0.0000, 0.5000, 0.5000), Au at (0.5000, 0.5000, 0.0000) and Br at (0.0000, 0.0000, 0.5000).

Its density of states at the Fermi level is 4.2 states/eV/cell. Its crystal system is tetragonal.



No. 3
A relaxed structure of Al2VAuBr, computed with PBE.

The structure belongs to space group P4/mmm (No. 123); the cell edges are 5.0483, 5.0483 and 4.6945 Å and the angles 90.00°, 90.00° and 90.00°. The asymmetric unit holds Al at (0.0000, 0.5000, 0.0000), V at (0.0000, 0.0000, 0.5000), Au at (0.5000, 0.5000, 0.5000) and Br at (0.0000, 0.0000, 0.0000).

Its density of states at the Fermi level is 4.4 states/eV/cell. Its crystal system is tetragonal.



No. 4
A relaxed structure of AlVAuBr2, computed with PBE.

The structure belongs to space group P4/mmm (No. 123); the cell edges are 5.5635, 5.5635 and 4.8306 Å and the angles 90.00°, 90.00° and 90.00°. The asymmetric unit holds Al at (0.0000, 0.0000, 0.0000), V at (0.5000, 0.5000, 0.0000), Au at (0.0000, 0.0000, 0.5000) and Br at (0.0000, 0.5000, 0.5000).

Its density of states at the Fermi level is 8.6 states/eV/cell. Its crystal system is tetragonal.



No. 5
A relaxed structure of AlAuC, computed with PBE.

The structure belongs to space group Pm (No. 6); the cell edges are 2.7296, 3.1145 and 9.7608 Å and the angles 90.00°, 90.12° and 90.00°. The asymmetric unit holds Al at (0.0000, 0.0000, 0.0000), Al at (0.4918, 0.0000, 0.6373), Au at (0.5007, 0.5000, 0.1861), Au at (0.9902, 0.0000, 0.4178), C at (0.4958, 0.5000, 0.7761) and C at (0.9971, 0.5000, 0.8501).

Its density of states at the Fermi level is 1.8 states/eV/cell. Its crystal system is monoclinic.



No. 6
A relaxed structure of AlAuC, computed with PBE.

The structure belongs to space group C2/m (No. 12); the cell edges are 11.7052, 3.1011 and 5.1284 Å and the angles 90.00°, 105.47° and 90.00°. The asymmetric unit holds Al at (0.1344, 0.0000, 0.3391), Au at (0.1656, 0.5000, 0.7735) and C at (0.0481, 0.5000, 0.1054).

Its density of states at the Fermi level is 3.0 states/eV/cell. Its crystal system is monoclinic.



No. 7
A relaxed structure of AlAuC, computed with PBE.

The structure belongs to space group P-3m1 (No. 164); the cell edges are 3.0896, 3.0896 and 10.0206 Å and the angles 90.00°, 90.00° and 120.00°. The asymmetric unit holds Al at (0.3333, 0.6667, 0.1740), Au at (0.3333, 0.6667, 0.6223) and C at (0.0000, 0.0000, 0.0666).

Its density of states at the Fermi level is 1.0 states/eV/cell. Its crystal system is trigonal.



No. 8
A relaxed structure of AlAuC, computed with PBE.

The structure belongs to space group P1 (No. 1); the cell edges are 2.6708, 3.9314 and 8.6328 Å and the angles 80.56°, 81.25° and 89.97°. The asymmetric unit holds Al at (0.0000, 0.0000, 0.0000), Al at (0.1833, 0.7553, 0.6314), Au at (0.4343, 0.4578, 0.1323), Au at (0.8113, 0.9013, 0.3714), C at (0.1245, 0.1740, 0.7511) and C at (0.6346, 0.3581, 0.7308).

Its density of states at the Fermi level is 1.9 states/eV/cell. Its crystal system is triclinic.



No. 9
A relaxed structure of AlAuC, computed with PBE.

The structure belongs to space group P6_3/mmc (No. 194); the cell edges are 3.3932, 3.3932 and 8.6711 Å and the angles 90.00°, 90.00° and 120.00°. The asymmetric unit holds Al at (0.3333, 0.6667, 0.2500), Au at (0.0000, 0.0000, 0.0000) and C at (0.3333, 0.6667, 0.7500).

Its density of states at the Fermi level is 1.0 states/eV/cell. Its crystal system is hexagonal.



No. 10
A relaxed structure of AlAuC, computed with PBE.

The structure belongs to space group Pnma (No. 62); the cell edges are 11.4440, 3.1885 and 4.7148 Å and the angles 90.00°, 90.00° and 90.00°. The asymmetric unit holds Al at (0.1895, 0.2500, 0.1694), Au at (0.0621, 0.2500, 0.6695) and C at (0.1693, 0.7500, 0.9199).

Its density of states at the Fermi level is 0.0 states/eV/cell. Its crystal system is orthorhombic.



No. 11
A relaxed structure of AlAuC, computed with PBE.

The structure belongs to space group Immm (No. 71); the cell edges are 2.9056, 3.4481 and 18.5488 Å and the angles 90.00°, 90.00° and 90.00°. The asymmetric unit holds Al at (0.0000, 0.0000, 0.1096), Au at (0.0000, 0.0000, 0.3080) and C at (0.0000, 0.5000, 0.4655).

Its density of states at the Fermi level is 1.7 states/eV/cell. Its crystal system is orthorhombic.



No. 12
A relaxed structure of AlAuC, computed with PBE.

The structure belongs to space group Pm (No. 6); the cell edges are 3.9665, 2.6753 and 9.5282 Å and the angles 90.00°, 90.53° and 90.00°. The asymmetric unit holds Al at (0.0000, 0.0000, 0.0000), Al at (0.4917, 0.0000, 0.6343), Au at (0.4974, 0.5000, 0.8784), Au at (0.9885, 0.5000, 0.5141), C at (0.0039, 0.5000, 0.2635) and C at (0.0047, 0.0000, 0.2175).

Its density of states at the Fermi level is 1.8 states/eV/cell. Its crystal system is monoclinic.



What final energy values result from the calculations? In sequence: -3.28 -3.55 -3.28 -2.91 -5.23 -5.19 -5.34 -5.19 -4.77 -4.92 -5.21 -5.18 eV per atom.